# Th4SiBiSe2 PBE-GGA optimized geometry
data_Th4SiBiSe2
_chemical_formula_sum 'Th4 Si1 Bi1 Se2'
_space_group_name_H-M_alt 'P 1 2/m 1'
_space_group_IT_number 10
_space_group_name_Hall '-P 2y'
_cell_length_a 7.327
_cell_length_b 4.315
_cell_length_c 7.707
_cell_angle_alpha 90.00
_cell_angle_beta 109.32
_cell_angle_gamma 90.00
loop_
_atom_site_label
_atom_site_type_symbol
_atom_site_fract_x
_atom_site_fract_y
_atom_site_fract_z
Th1 Th 0.237 0.000 0.222
Th2 Th 0.254 0.500 0.774
Si1 Si 0.500 0.000 0.000
Bi1 Bi 0.500 0.500 0.500
Se1 Se 0.000 0.000 0.500
Se2 Se 0.000 0.500 0.000
# - uncorrected energy (eV/atom) = -6.841


# ReAs2W PBE-GGA optimized geometry
data_ReAs2W
_chemical_formula_sum 'Re2 As4 W2'
_space_group_name_H-M_alt 'C 1 m 1'
_space_group_IT_number 8
_space_group_name_Hall 'C -2y'
_cell_length_a 8.828
_cell_length_b 3.160
_cell_length_c 4.725
_cell_angle_alpha 90.00
_cell_angle_beta 108.48
_cell_angle_gamma 90.00
loop_
_atom_site_label
_atom_site_type_symbol
_atom_site_fract_x
_atom_site_fract_y
_atom_site_fract_z
Re1 Re 0.000 0.000 0.000
As1 As 0.258 0.000 0.867
As2 As 0.487 0.000 0.527
W1 W 0.242 0.500 0.391
# - polymorph energy (0 for the lowest one) (meV per atom) = 60
# - formation enthalpy at 0 K (eV per formula unit) = 0.72


# Li3Mg4Hg4 PBE-GGA optimized geometry
data_Li3Mg4Hg4
_chemical_formula_sum 'Li3 Mg4 Hg4'
_space_group_name_H-M_alt 'P -1'
_space_group_IT_number 2
_space_group_name_Hall '-P 1'
_cell_length_a 3.391
_cell_length_b 3.709
_cell_length_c 17.561
_cell_angle_alpha 83.96
_cell_angle_beta 84.49
_cell_angle_gamma 89.99
loop_
_atom_site_label
_atom_site_type_symbol
_atom_site_fract_x
_atom_site_fract_y
_atom_site_fract_z
Li1 Li 0.000 0.000 0.000
Li2 Li 0.360 0.363 0.273
Mg1 Mg 0.094 0.089 0.822
Mg2 Mg 0.277 0.277 0.446
Hg1 Hg 0.177 0.176 0.649
Hg2 Hg 0.454 0.456 0.089
# - polymorph energy (0 for the lowest one) (meV per atom) = 0
# - formation enthalpy at 0 K (eV per formula unit) = -2.89


# Li3Ni PBE-GGA optimized geometry
data_Li3Ni
_chemical_formula_sum 'Li6 Ni2'
_space_group_name_H-M_alt 'P 1 2/c 1'
_space_group_IT_number 13
_space_group_name_Hall '-P 2yc'
_cell_length_a 4.870
_cell_length_b 2.585
_cell_length_c 8.841
_cell_angle_alpha 90.00
_cell_angle_beta 97.56
_cell_angle_gamma 90.00
loop_
_atom_site_label
_atom_site_type_symbol
_atom_site_fract_x
_atom_site_fract_y
_atom_site_fract_z
Li1 Li 0.000 0.250 0.250
Li2 Li 0.273 0.249 0.010
Ni1 Ni 0.500 0.251 0.750
# - formation enthalpy at 0 K (eV per formula unit) = 0.26


# La3P2H PBE-GGA optimized geometry
data_La3P2H
_chemical_formula_sum 'La12 P8 H4'
_space_group_name_H-M_alt 'C m c m'
_space_group_IT_number 63
_space_group_name_Hall '-C 2c 2'
_cell_length_a 4.155
_cell_length_b 13.195
_cell_length_c 10.713
_cell_angle_alpha 90.00
_cell_angle_beta 90.00
_cell_angle_gamma 90.00
loop_
_atom_site_label
_atom_site_type_symbol
_atom_site_fract_x
_atom_site_fract_y
_atom_site_fract_z
La1 La 0.000 0.080 0.250
La2 La 0.000 0.357 0.073
P1 P 0.000 0.000 0.000
P2 P 0.000 0.255 0.750
H1 H 0.000 0.469 0.250
# - polymorph energy (0 for the lowest one) (meV per atom) = 6


# CrCdRh PBE-GGA optimized geometry
data_CrCdRh
_chemical_formula_sum 'Cr2 Cd2 Rh2'
_space_group_name_H-M_alt 'I 4 m m'
_space_group_IT_number 107
_space_group_name_Hall 'I 4 -2'
_cell_length_a 2.837
_cell_length_b 2.837
_cell_length_c 11.516
_cell_angle_alpha 90.00
_cell_angle_beta 90.00
_cell_angle_gamma 90.00
loop_
_atom_site_label
_atom_site_type_symbol
_atom_site_fract_x
_atom_site_fract_y
_atom_site_fract_z
Cr1 Cr 0.000 0.000 0.000
Cd1 Cd 0.000 0.000 0.684
Rh1 Rh 0.000 0.000 0.374
# - polymorph energy (0 for the lowest one) (meV per atom) = 119
# - formation enthalpy at 0 K (eV per formula unit) = 0.41


# NaDyPd6O8 PBE-GGA optimized geometry
data_NaDyPd6O8
_chemical_formula_sum 'Na1 Dy1 Pd6 O8'
_space_group_name_H-M_alt 'P m -3'
_space_group_IT_number 200
_space_group_name_Hall '-P 2 2 3'
_cell_length_a 5.830
_cell_length_b 5.830
_cell_length_c 5.830
_cell_angle_alpha 90.00
_cell_angle_beta 90.00
_cell_angle_gamma 90.00
loop_
_atom_site_label
_atom_site_type_symbol
_atom_site_fract_x
_atom_site_fract_y
_atom_site_fract_z
Na1 Na 0.000 0.000 0.000
Dy1 Dy 0.500 0.500 0.500
Pd1 Pd 0.000 0.250 0.500
O1 O 0.260 0.260 0.260
# - uncorrected energy (eV/atom) = -5.885


# NbCr2Co2 PBE-GGA optimized geometry
data_NbCr2Co2
_chemical_formula_sum 'Nb2 Cr4 Co4'
_space_group_name_H-M_alt 'P 4/m b m'
_space_group_IT_number 127
_space_group_name_Hall '-P 4 2ab'
_cell_length_a 7.007
_cell_length_b 7.007
_cell_length_c 2.548
_cell_angle_alpha 90.00
_cell_angle_beta 90.00
_cell_angle_gamma 90.00
loop_
_atom_site_label
_atom_site_type_symbol
_atom_site_fract_x
_atom_site_fract_y
_atom_site_fract_z
Nb1 Nb 0.000 0.000 0.000
Cr1 Cr 0.169 0.331 0.500
Co1 Co 0.124 0.624 0.000
# - polymorph energy (0 for the lowest one) (meV per atom) = 0
# - formation enthalpy at 0 K (eV per formula unit) = 0.52


# Pm2CrN4 PBE-GGA optimized geometry
data_Pm2CrN4
_chemical_formula_sum 'Pm8 Cr4 N16'
_space_group_name_H-M_alt 'P n m a'
_space_group_IT_number 62
_space_group_name_Hall '-P 2ac 2n'
_cell_length_a 7.143
_cell_length_b 5.462
_cell_length_c 9.908
_cell_angle_alpha 90.00
_cell_angle_beta 90.00
_cell_angle_gamma 90.00
loop_
_atom_site_label
_atom_site_type_symbol
_atom_site_fract_x
_atom_site_fract_y
_atom_site_fract_z
Pm1 Pm 0.017 0.250 0.189
Pm2 Pm 0.151 0.750 0.429
Cr1 Cr 0.224 0.750 0.073
N1 N 0.017 0.250 0.915
N2 N 0.175 0.506 0.644
N3 N 0.205 0.250 0.405
# - polymorph energy (0 for the lowest one) (meV per atom) = 0


# LiMn2FeOs PBE-GGA optimized geometry
data_LiMn2FeOs
_chemical_formula_sum 'Li1 Mn2 Fe1 Os1'
_space_group_name_H-M_alt 'P 4/m m m'
_space_group_IT_number 123
_space_group_name_Hall '-P 4 2'
_cell_length_a 4.797
_cell_length_b 4.797
_cell_length_c 4.551
_cell_angle_alpha 90.00
_cell_angle_beta 90.00
_cell_angle_gamma 90.00
loop_
_atom_site_label
_atom_site_type_symbol
_atom_site_fract_x
_atom_site_fract_y
_atom_site_fract_z
Li1 Li 0.000 0.000 0.000
Mn1 Mn 0.000 0.500 0.500
Fe1 Fe 0.500 0.500 0.000
Os1 Os 0.500 0.500 0.500
# - formation enthalpy at 0 K (eV per formula unit) = 5.57


# Pm2OsRh PBE-GGA optimized geometry
data_Pm2OsRh
_chemical_formula_sum 'Pm8 Os4 Rh4'
_space_group_name_H-M_alt 'F m -3 m'
_space_group_IT_number 225
_space_group_name_Hall '-F 4 2 3'
_cell_length_a 7.015
_cell_length_b 7.015
_cell_length_c 7.015
_cell_angle_alpha 90.00
_cell_angle_beta 90.00
_cell_angle_gamma 90.00
loop_
_atom_site_label
_atom_site_type_symbol
_atom_site_fract_x
_atom_site_fract_y
_atom_site_fract_z
Pm1 Pm 0.250 0.250 0.250
Os1 Os 0.000 0.000 0.000
Rh1 Rh 0.000 0.000 0.500
# - polymorph energy (0 for the lowest one) (meV per atom) = 38
# - formation enthalpy at 0 K (eV per formula unit) = -1.02


# SmYTeP PBE-GGA optimized geometry
data_SmYTeP
_chemical_formula_sum 'Sm3 Y3 Te3 P3'
_space_group_name_H-M_alt 'R 3 m'
_space_group_IT_number 160
_space_group_name_Hall 'R 3 -2"'
_cell_length_a 4.1207
_cell_length_b 4.1207
_cell_length_c 22.0176
_cell_angle_alpha 90.00
_cell_angle_beta 90.00
_cell_angle_gamma 120.00
loop_
_atom_site_label
_atom_site_type_symbol
_atom_site_fract_x
_atom_site_fract_y
_atom_site_fract_z
Sm1 Sm 0.0000 0.0000 0.0000
Y1 Y 0.0000 0.0000 0.1937
Te1 Te 0.0000 0.0000 0.4314
P1 P 0.0000 0.0000 0.5967
# - uncorrected energy (eV/atom) = -6.469